(1)
A relaxed Er5TmSb4 crystal, computed with GGA-PBE.

## Properties
M_tot = 0.00 μB/f.u.
SG = C2/m
Formation energy (no corrections) = -0.6821 eV/atom

Unit cell a=4.262 b=8.317 c=9.462 alpha=105.36 beta=103.02 gamma=90.00
Element x y z (fractional)
Er 0.820 0.649 0.640
Er 0.837 0.183 0.674
Er 0.163 0.817 0.326
Er 0.500 0.500 0.000
Er 0.180 0.351 0.360
Tm 0.500 0.000 0.000
Sb 0.331 0.916 0.662
Sb 0.991 0.742 0.982
Sb 0.669 0.084 0.338
Sb 0.009 0.258 0.018

(2)
A relaxed ErTm3Sb4 crystal, computed with GGA-PBE.

## Properties
M_tot = 0.00 μB/f.u.
SG = Pm-3m
Formation energy (no corrections) = -1.0795 eV/atom

Unit cell a=6.134 b=6.134 c=6.134 alpha=90.00 beta=90.00 gamma=90.00
Element x y z (fractional)
Er 0.000 0.000 0.000
Tm 0.000 0.500 0.500
Tm 0.500 0.000 0.500
Tm 0.500 0.500 0.000
Sb 0.500 0.000 0.000
Sb 0.000 0.500 0.000
Sb 0.000 0.000 0.500
Sb 0.500 0.500 0.500

(3)
A relaxed ErTm8Sb6 crystal, computed with GGA-PBE.

## Properties
M_tot = 0.00 μB/f.u.
SG = R-3
Formation energy (no corrections) = -0.7027 eV/atom

Unit cell a=7.396 b=7.396 c=10.555 alpha=69.49 beta=69.49 gamma=60.00
Element x y z (fractional)
Er 0.000 0.000 0.000
Tm 0.548 0.212 0.360
Tm 0.788 0.120 0.640
Tm 0.120 0.452 0.640
Tm 0.667 0.667 0.000
Tm 0.333 0.333 0.000
Tm 0.880 0.548 0.360
Tm 0.212 0.880 0.360
Tm 0.452 0.788 0.640
Sb 0.396 0.061 0.815
Sb 0.939 0.272 0.185
Sb 0.272 0.604 0.185
Sb 0.728 0.396 0.815
Sb 0.061 0.728 0.815
Sb 0.604 0.939 0.185

(4)
A relaxed ErTm8Sb2 crystal, computed with GGA-PBE.

## Properties
M_tot = 0.00 μB/f.u.
SG = C2/m
Formation energy (no corrections) = -0.0574 eV/atom

Unit cell a=6.047 b=8.537 c=8.537 alpha=60.87 beta=107.94 gamma=107.94
Element x y z (fractional)
Er 0.000 0.000 0.000
Tm 0.275 0.430 0.807
Tm 0.725 0.193 0.570
Tm 0.195 0.822 0.822
Tm 0.805 0.178 0.178
Tm 0.275 0.807 0.430
Tm 0.725 0.570 0.193
Tm 0.765 0.590 0.590
Tm 0.235 0.410 0.410
Sb 0.653 0.781 0.781
Sb 0.347 0.219 0.219

(5)
A relaxed ErTm2Sb crystal, computed with GGA-PBE.

## Properties
Offset from the most stable computed form = 0.094 eV/atom
M_tot = 0.00 μB/f.u.
SG = P4/mmm
Formation energy (no corrections) = -0.4373 eV/atom

Unit cell a=4.726 b=4.731 c=4.731 alpha=90.00 beta=90.00 gamma=90.00
Element x y z (fractional)
Sb 0.500 0.500 0.500
Tm 0.000 0.000 0.500
Tm 0.000 0.500 0.000
Er 0.500 0.000 0.000

(6)
A relaxed Er2Tm2Sb5 crystal, computed with GGA-PBE.

## Properties
M_tot = 0.00 μB/f.u.
SG = Cmce
Formation energy (no corrections) = -0.7927 eV/atom

Unit cell a=8.187 b=8.705 c=8.705 alpha=125.93 beta=90.00 gamma=90.00
Element x y z (fractional)
Er 0.000 0.809 0.191
Er 0.500 0.309 0.691
Er 0.000 0.191 0.809
Er 0.500 0.691 0.309
Tm 0.340 0.155 0.155
Tm 0.660 0.845 0.845
Tm 0.840 0.345 0.345
Tm 0.160 0.655 0.655
Sb 0.000 0.000 0.000
Sb 0.500 0.500 0.500
Sb 0.149 0.210 0.491
Sb 0.851 0.509 0.790
Sb 0.649 0.009 0.290
Sb 0.351 0.710 0.991
Sb 0.851 0.790 0.509
Sb 0.149 0.491 0.210
Sb 0.351 0.991 0.710
Sb 0.649 0.290 0.009

(7)
A relaxed ErTm2Sb crystal, computed with GGA-PBE.

## Properties
Offset from the most stable computed form = 0.245 eV/atom
M_tot = 0.60 μB/f.u.
SG = R3m
Formation energy (no corrections) = -0.2858 eV/atom

Unit cell a=3.954 b=3.954 c=9.582 alpha=78.09 beta=78.09 gamma=60.00
Element x y z (fractional)
Er 0.501 0.501 0.498
Tm 0.069 0.069 0.794
Tm 0.265 0.265 0.206
Sb 0.666 0.666 0.002

(8)
A relaxed Er2Tm2Sb3 crystal, computed with GGA-PBE.

## Properties
M_tot = 0.00 μB/f.u.
SG = P-1
Formation energy (no corrections) = -0.7872 eV/atom

Unit cell a=4.298 b=7.268 c=7.308 alpha=98.69 beta=90.05 gamma=107.26
Element x y z (fractional)
Er 0.882 0.762 0.614
Er 0.118 0.238 0.386
Tm 0.624 0.248 0.865
Tm 0.376 0.752 0.135
Sb 0.000 0.000 0.000
Sb 0.743 0.486 0.250
Sb 0.257 0.514 0.750

(9)
A relaxed ErTm2Sb crystal, computed with GGA-PBE.

## Properties
Offset from the most stable computed form = 0.081 eV/atom
M_tot = 0.00 μB/f.u.
SG = P4/mmm
Formation energy (no corrections) = -0.4498 eV/atom

Unit cell a=4.023 b=4.023 c=6.840 alpha=90.00 beta=90.00 gamma=90.00
Element x y z (fractional)
Sb 0.500 0.500 0.000
Tm 0.000 0.000 0.767
Tm 0.000 0.000 0.233
Er 0.500 0.500 0.500

(10)
A relaxed ErTm2Sb crystal, computed with GGA-PBE.

## Properties
Offset from the most stable computed form = 0.317 eV/atom
M_tot = 0.00 μB/f.u.
SG = Fm-3m
Formation energy (no corrections) = -0.2144 eV/atom

Unit cell a=5.320 b=5.320 c=5.320 alpha=60.00 beta=60.00 gamma=60.00
Element x y z (fractional)
Sb 0.500 0.500 0.500
Tm 0.750 0.750 0.750
Tm 0.250 0.250 0.250
Er 0.000 0.000 0.000

(11)
A relaxed Er2TmSb2 crystal, computed with GGA-PBE.

## Properties
M_tot = 0.00 μB/f.u.
SG = Cmcm
Formation energy (no corrections) = -0.8146 eV/atom

Unit cell a=4.263 b=6.229 c=10.955 alpha=90.00 beta=101.22 gamma=90.00
Element x y z (fractional)
Er 0.000 0.273 0.000
Er 0.190 0.523 0.381
Er 0.810 0.023 0.619
Er 0.000 0.773 0.000
Tm 0.614 0.023 0.227
Tm 0.386 0.523 0.773
Sb 0.582 0.523 0.164
Sb 0.209 0.023 0.418
Sb 0.791 0.523 0.582
Sb 0.418 0.023 0.836

(12)
A relaxed Er3TmSb4 crystal, computed with GGA-PBE.

## Properties
M_tot = 0.00 μB/f.u.
SG = Pm-3m
Formation energy (no corrections) = -1.0928 eV/atom

Unit cell a=6.144 b=6.144 c=6.144 alpha=90.00 beta=90.00 gamma=90.00
Element x y z (fractional)
Er 0.000 0.500 0.500
Er 0.500 0.000 0.500
Er 0.500 0.500 0.000
Tm 0.000 0.000 0.000
Sb 0.500 0.000 0.000
Sb 0.000 0.500 0.000
Sb 0.000 0.000 0.500
Sb 0.500 0.500 0.500

(13)
A relaxed Er3TmSb3 crystal, computed with GGA-PBE.

## Properties
Offset from the most stable computed form = 0.000 eV/atom
M_tot = 0.00 μB/f.u.
SG = P2_13
Formation energy (no corrections) = -0.9409 eV/atom

Unit cell a=9.103 b=9.103 c=9.103 alpha=90.00 beta=90.00 gamma=90.00
Element x y z (fractional)
Er 0.823 0.323 0.177
Er 0.928 0.928 0.928
Er 0.823 0.677 0.323
Er 0.177 0.823 0.323
Er 0.177 0.177 0.177
Er 0.323 0.823 0.677
Er 0.072 0.428 0.572
Er 0.323 0.177 0.823
Er 0.677 0.323 0.823
Er 0.677 0.677 0.677
Er 0.572 0.072 0.428
Er 0.428 0.572 0.072
Tm 0.073 0.573 0.927
Tm 0.927 0.073 0.573
Tm 0.427 0.427 0.427
Tm 0.573 0.927 0.073
Sb 0.751 0.625 0.000
Sb 0.875 0.000 0.251
Sb 0.000 0.751 0.625
Sb 0.125 0.500 0.249
Sb 0.249 0.125 0.500
Sb 0.251 0.875 0.000
Sb 0.000 0.251 0.875
Sb 0.375 0.500 0.749
Sb 0.500 0.249 0.125
Sb 0.625 0.000 0.751
Sb 0.749 0.375 0.500
Sb 0.500 0.749 0.375

(14)
A relaxed ErTm2Sb crystal, computed with GGA-PBE.

## Properties
Offset from the most stable computed form = 0.000 eV/atom
M_tot = 0.00 μB/f.u.
SG = Cmcm
Formation energy (no corrections) = -0.5309 eV/atom

Unit cell a=4.072 b=6.382 c=9.365 alpha=90.00 beta=90.00 gamma=108.60
Element x y z (fractional)
Er 0.943 0.886 0.250
Er 0.057 0.114 0.750
Tm 0.365 0.730 0.547
Tm 0.635 0.270 0.453
Tm 0.365 0.730 0.953
Tm 0.635 0.270 0.047
Sb 0.758 0.516 0.750
Sb 0.242 0.484 0.250

(15)
A relaxed Er2TmSb3 crystal, computed with GGA-PBE.

## Properties
M_tot = 0.00 μB/f.u.
SG = Immm
Formation energy (no corrections) = -1.0855 eV/atom

Unit cell a=4.347 b=6.144 c=7.530 alpha=114.08 beta=106.78 gamma=90.00
Element x y z (fractional)
Er 0.833 0.833 0.166
Er 0.167 0.167 0.834
Tm 0.500 0.500 0.500
Sb 0.834 0.334 0.168
Sb 0.166 0.666 0.832
Sb 0.500 0.000 0.500

(16)
A relaxed Y2ErTm3Sb6 crystal, computed with GGA-PBE.

## Properties
M_tot = 0.00 μB/f.u.
SG = C2/m
Formation energy (no corrections) = -1.1047 eV/atom

Unit cell a=4.357 b=8.716 c=9.743 alpha=102.86 beta=102.92 gamma=90.00
Element x y z (fractional)
Y 0.834 0.667 0.667
Y 0.166 0.333 0.333
Er 0.500 0.000 0.000
Tm 0.500 0.500 0.000
Tm 0.833 0.166 0.666
Tm 0.167 0.834 0.334
Sb 0.333 0.919 0.667
Sb 0.666 0.586 0.332
Sb 0.667 0.081 0.333
Sb 0.999 0.250 0.998
Sb 0.001 0.750 0.002
Sb 0.334 0.414 0.668

(17)
A relaxed YEr3Tm2Sb6 crystal, computed with GGA-PBE.

## Properties
M_tot = 0.00 μB/f.u.
SG = C2/m
Formation energy (no corrections) = -1.0972 eV/atom

Unit cell a=4.353 b=8.709 c=9.735 alpha=102.86 beta=102.92 gamma=90.00
Element x y z (fractional)
Y 0.500 0.000 0.000
Er 0.500 0.500 0.000
Er 0.834 0.167 0.668
Er 0.166 0.833 0.332
Tm 0.833 0.667 0.666
Tm 0.167 0.333 0.334
Sb 0.332 0.915 0.665
Sb 0.667 0.583 0.334
Sb 0.668 0.085 0.335
Sb 0.001 0.252 0.001
Sb 0.999 0.748 0.999
Sb 0.333 0.417 0.666

(18)
A relaxed Er5USb6 crystal, computed with GGA-PBE.

## Properties
M_tot = 2.49 μB/f.u.
SG = C2/m
Formation energy (no corrections) = -0.9328 eV/atom

Unit cell a=7.549 b=7.546 c=7.551 alpha=60.02 beta=80.40 gamma=70.51
Element x y z (fractional)
Sb 0.749 0.084 0.334
Sb 0.251 0.582 0.334
Sb 0.250 0.251 0.000
Sb 0.750 0.749 0.000
Sb 0.749 0.418 0.666
Sb 0.251 0.916 0.666
U 0.000 0.000 0.000
Er 0.500 0.166 0.667
Er 0.000 0.333 0.333
Er 0.500 0.500 0.000
Er 0.000 0.667 0.667
Er 0.500 0.834 0.333

(19)
A relaxed ErUSb2 crystal, computed with GGA-PBE.

## Properties
Offset from the most stable computed form = 0.000 eV/atom
M_tot = 2.67 μB/f.u.
SG = R-3m
Formation energy (no corrections) = -0.6381 eV/atom

Unit cell a=4.317 b=4.317 c=7.690 alpha=90.00 beta=106.30 gamma=120.00
Element x y z (fractional)
Er 0.500 0.750 0.250
U 0.500 0.250 0.750
Sb 0.003 0.001 0.004
Sb 0.997 0.499 0.496

(20)
A relaxed ErUSb2 crystal, computed with GGA-PBE.

## Properties
Offset from the most stable computed form = 0.185 eV/atom
M_tot = 2.87 μB/f.u.
SG = P4/mmm
Formation energy (no corrections) = -0.4533 eV/atom

Unit cell a=3.792 b=5.251 c=5.251 alpha=90.00 beta=90.00 gamma=90.00
Element x y z (fractional)
Sb 0.000 0.000 0.500
Sb 0.000 0.500 0.000
U 0.500 0.500 0.500
Er 0.500 0.000 0.000